First-principles (PBE) data for DyTaClO4 after structural relaxation, as listed in Alexandria.

The space group is C2/m (No. 12) and the conventional cell measures 11.817, 6.796 and 7.041 Å, with angles of 90.00, 104.42 and 90.00 degrees. The asymmetric unit holds Dy at (0.214, 0.000, 0.355), Ta at (0.139, 0.000, 0.774), Cl at (0.022, 0.500, 0.372), O at (0.024, 0.000, 0.278), O at (0.195, 0.204, 0.642) and O at (0.207, 0.000, 0.040).

The density of states at the Fermi level comes out at 0.00 states/eV per atom. The total magnetization comes out at 0.00 μB per atom. The value obtained for the raw formation energy is -18.4 eV per formula unit. The total energy comes out at -8.082 eV per atom.

***

First-principles (PBE) data for Ta2MoCl after structural relaxation, as listed in Alexandria.

The space group is F-43m (No. 216) and the conventional cell measures 6.541, 6.541 and 6.541 Å, with angles of 90.00, 90.00 and 90.00 degrees. The asymmetric unit holds Ta at (0.000, 0.000, 0.000), Ta at (0.250, 0.250, 0.250), Mo at (0.000, 0.000, 0.500) and Cl at (0.250, 0.250, 0.750).

The value obtained for the relative energy among the computed polymorphs is 831 meV per atom. The density of states at the Fermi level comes out at 1.82 states/eV per atom. The total magnetization comes out at 0.00 μB per atom. The value obtained for the raw formation energy is 3.6 eV per formula unit. The total energy comes out at -8.186 eV per atom.

***

First-principles (PBE) data for Ag5Pb2Cl12 after structural relaxation, as listed in Alexandria.

The space group is C2/m (No. 12) and the conventional cell measures 15.108, 7.615 and 9.582 Å, with angles of 90.00, 103.97 and 90.00 degrees. The asymmetric unit holds Ag at (0.000, 0.000, 0.000), Ag at (0.246, 0.500, 0.999), Ag at (0.248, 0.500, 0.500), Pb at (0.000, 0.239, 0.500), Cl at (0.040, 0.500, 0.328), Cl at (0.045, 0.000, 0.269), Cl at (0.140, 0.243, 0.999) and Cl at (0.194, 0.247, 0.639).

The density of states at the Fermi level comes out at 0.82 states/eV per atom. The total magnetization comes out at 0.04 μB per atom. The value obtained for the raw formation energy is -11.1 eV per formula unit. The total energy comes out at -2.892 eV per atom.

***

First-principles (PBE) data for Hf5H12Pd2 after structural relaxation, as listed in Alexandria.

The space group is C2/m (No. 12) and the conventional cell measures 10.048, 5.621 and 6.378 Å, with angles of 90.00, 103.35 and 90.00 degrees. The asymmetric unit holds Hf at (0.000, 0.000, 0.000), Hf at (0.189, 0.500, 0.868), Hf at (0.220, 0.500, 0.348), H at (0.012, 0.500, 0.303), H at (0.074, 0.000, 0.369), H at (0.157, 0.258, 0.091), H at (0.201, 0.317, 0.608) and Pd at (0.000, 0.241, 0.500).

The density of states at the Fermi level comes out at 0.33 states/eV per atom. The total magnetization comes out at 0.00 μB per atom. The total energy comes out at -5.549 eV per atom.